1.
# Sm2IO6

Crystalline Sm2IO6 at its relaxed geometry (PBE, Alexandria via LeMat-Bulk).

The space group is P2_1/c (No. 14) and the conventional cell measures 5.682, 5.899 and 9.612 Å, with angles of 90.00, 119.44 and 90.00 degrees. The distinct sites, in fractional coordinates, are Sm at (0.192, 0.071, 0.235), I at (0.500, 0.000, 0.000), O at (0.169, 0.182, 0.950), O at (0.238, 0.739, 0.890) and O at (0.464, 0.104, 0.794).

Its crystal system is monoclinic. The value obtained for the magnetization is 0.0000 μB per atom. The uncorrected formation energy comes out at -2.02 eV/atom.

=====

2.
# Zr2Ti2Al

Crystalline Zr2Ti2Al at its relaxed geometry (PBE, Alexandria via LeMat-Bulk).

The space group is P4/mbm (No. 127) and the conventional cell measures 7.087, 7.087 and 3.893 Å, with angles of 90.00, 90.00 and 90.00 degrees. The distinct sites, in fractional coordinates, are Zr at (0.168, 0.332, 0.000), Ti at (0.134, 0.634, 0.500) and Al at (0.000, 0.000, 0.500).

Its crystal system is tetragonal. The value obtained for the magnetization is 0.0000 μB per atom. The formation enthalpy at 0 K is -106 meV per atom. The distance to the lowest polymorph of the same formula is 24 meV per atom.

=====

3.
# LiSeBr

Crystalline LiSeBr at its relaxed geometry (PBE, Alexandria via LeMat-Bulk).

The space group is I4mm (No. 107) and the conventional cell measures 3.340, 3.340 and 11.984 Å, with angles of 90.00, 90.00 and 90.00 degrees. The distinct sites, in fractional coordinates, are Li at (0.000, 0.000, 0.000), Se at (0.000, 0.000, 0.344) and Br at (0.000, 0.000, 0.597).

Its crystal system is tetragonal. The value obtained for the magnetization is 0.0005 μB per atom. The uncorrected formation energy comes out at -0.40 eV/atom. The distance to the lowest polymorph of the same formula is 130 meV per atom.

=====

4.
# TbCeSnAu

Crystalline TbCeSnAu at its relaxed geometry (PBE, Alexandria via LeMat-Bulk).

The space group is F-43m (No. 216) and the conventional cell measures 7.511, 7.511 and 7.511 Å, with angles of 90.00, 90.00 and 90.00 degrees. The distinct sites, in fractional coordinates, are Tb at (0.000, 0.000, 0.000), Ce at (0.000, 0.000, 0.500), Sn at (0.250, 0.250, 0.750) and Au at (0.250, 0.250, 0.250).

Its crystal system is cubic. The value obtained for the magnetization is 0.4588 μB per atom. The formation enthalpy at 0 K is -632 meV per atom.

=====

5.
# Rb2NaCd2Hg5

Crystalline Rb2NaCd2Hg5 at its relaxed geometry (PBE, Alexandria via LeMat-Bulk).

The space group is P4/mbm (No. 127) and the conventional cell measures 12.410, 12.410 and 4.121 Å, with angles of 90.00, 90.00 and 90.00 degrees. The distinct sites, in fractional coordinates, are Rb at (0.174, 0.326, 0.000), Na at (0.000, 0.000, 0.000), Cd at (0.125, 0.625, 0.000), Hg at (0.000, 0.500, 0.500) and Hg at (0.061, 0.811, 0.500).

Its crystal system is tetragonal. The value obtained for the magnetization is 0.0000 μB per atom. The formation enthalpy at 0 K is -158 meV per atom.

=====

6.
# Th4Tc2Bi

Crystalline Th4Tc2Bi at its relaxed geometry (PBE, Alexandria via LeMat-Bulk).

The space group is Cmcm (No. 63) and the conventional cell measures 4.568, 12.562 and 13.907 Å, with angles of 90.00, 90.00 and 90.00 degrees. The distinct sites, in fractional coordinates, are Th at (0.000, 0.000, 0.000), Th at (0.000, 0.270, 0.106), Th at (0.000, 0.408, 0.750), Tc at (0.000, 0.392, 0.555) and Bi at (0.000, 0.107, 0.750).

Its crystal system is orthorhombic. The value obtained for the magnetization is 0.0000 μB per atom. The formation enthalpy at 0 K is -310 meV per atom. The distance to the lowest polymorph of the same formula is 0 meV per atom.

=====

7.
# Sm2ZrO

Crystalline Sm2ZrO at its relaxed geometry (PBE, Alexandria via LeMat-Bulk).

The space group is R-3m (No. 166, hexagonal axes) and the conventional cell measures 3.4222, 3.4222 and 27.6156 Å, with angles of 90.00, 90.00 and 120.00 degrees. The distinct sites, in fractional coordinates, are Sm at (0.0000, 0.0000, 0.1147), Zr at (0.0000, 0.0000, 0.0000) and O at (0.0000, 0.0000, 0.5000).

Its crystal system is trigonal. The value obtained for the magnetization is 0.0002 μB per atom. The uncorrected formation energy comes out at -0.99 eV/atom.

=====

8.
# Li7TlPd5

Crystalline Li7TlPd5 at its relaxed geometry (PBE, Alexandria via LeMat-Bulk).

The space group is Imm2 (No. 44) and the conventional cell measures 5.446, 9.181 and 8.695 Å, with angles of 90.00, 90.00 and 90.00 degrees. The distinct sites, in fractional coordinates, are Li at (0.000, 0.000, 0.000), Li at (0.000, 0.000, 0.301), Li at (0.000, 0.298, 0.480), Li at (0.000, 0.336, 0.969), Li at (0.000, 0.500, 0.254), Tl at (0.000, 0.000, 0.628), Pd at (0.000, 0.500, 0.708) and Pd at (0.245, 0.252, 0.225).

Its crystal system is orthorhombic. The value obtained for the magnetization is 0.0000 μB per atom. The formation enthalpy at 0 K is -341 meV per atom.

=====

9.
# DyTe2Pd

Crystalline DyTe2Pd at its relaxed geometry (PBE, Alexandria via LeMat-Bulk).

The space group is R-3m (No. 166, hexagonal axes) and the conventional cell measures 3.9454, 3.9454 and 27.0551 Å, with angles of 90.00, 90.00 and 120.00 degrees. The distinct sites, in fractional coordinates, are Dy at (0.0000, 0.0000, 0.0000), Te at (0.0000, 0.0000, 0.1113) and Pd at (0.0000, 0.0000, 0.5000).

Its crystal system is trigonal. The value obtained for the magnetization is 0.0000 μB per atom. The uncorrected formation energy comes out at -0.24 eV/atom. The distance to the lowest polymorph of the same formula is 506 meV per atom.

=====

10.
# ThMgCuAu

Crystalline ThMgCuAu at its relaxed geometry (PBE, Alexandria via LeMat-Bulk).

The space group is F-43m (No. 216) and the conventional cell measures 7.005, 7.005 and 7.005 Å, with angles of 90.00, 90.00 and 90.00 degrees. The distinct sites, in fractional coordinates, are Th at (0.000, 0.000, 0.000), Mg at (0.000, 0.000, 0.500), Cu at (0.250, 0.250, 0.250) and Au at (0.250, 0.250, 0.750).

Its crystal system is cubic. The value obtained for the magnetization is 0.0000 μB per atom. The formation enthalpy at 0 K is -400 meV per atom.

=====

11.
# SrCaTb

Crystalline SrCaTb at its relaxed geometry (PBE, Alexandria via LeMat-Bulk).

The space group is P3m1 (No. 156) and the conventional cell measures 3.8418, 3.8418 and 9.5464 Å, with angles of 90.00, 90.00 and 120.00 degrees. The distinct sites, in fractional coordinates, are Sr at (0.0000, 0.0000, 0.0000), Ca at (0.3333, 0.6667, 0.6432) and Tb at (0.6667, 0.3333, 0.3324).

Its crystal system is trigonal. The value obtained for the magnetization is 0.0304 μB per atom. The formation enthalpy at 0 K is 157 meV per atom. The distance to the lowest polymorph of the same formula is 94 meV per atom.

=====

12.
# Li2NpN2

Crystalline Li2NpN2 at its relaxed geometry (PBE, Alexandria via LeMat-Bulk).

The space group is R-3m (No. 166, hexagonal axes) and the conventional cell measures 3.4021, 3.4021 and 23.4057 Å, with angles of 90.00, 90.00 and 120.00 degrees. The distinct sites, in fractional coordinates, are Li at (0.0000, 0.0000, 0.2343), Np at (0.0000, 0.0000, 0.0000) and N at (0.0000, 0.0000, 0.3835).

Its crystal system is trigonal. The value obtained for the magnetization is 0.4939 μB per atom. The uncorrected formation energy comes out at -0.76 eV/atom.